1.
VASP calculation (PBE) on a relaxed structure of AcPr2Y6.

```
AcPr2Y6
1.0
7.751 0.000 0.000
0.000 6.544 0.000
-4.836 0.000 12.397
Ac Pr Y
2 4 12
Direct
0.000 0.000 0.000
0.000 0.500 0.500
0.438 0.086 0.192
0.438 0.414 0.692
0.562 0.586 0.308
0.562 0.914 0.808
0.113 0.695 0.800
0.113 0.805 0.300
0.206 0.522 0.089
0.206 0.978 0.589
0.373 0.244 0.928
0.373 0.256 0.428
0.627 0.744 0.572
0.627 0.756 0.072
0.794 0.022 0.411
0.794 0.478 0.911
0.887 0.195 0.700
0.887 0.305 0.200
```

Values from the calculation:
Crystal system ... monoclinic
Final energy ... -102.1 eV/cell
Energy above the lowest structure with this stoichiometry ... 44 meV per atom
Symmetry ... P2_1/c, No. 14
Energy of formation from the pure elements ... 0.1568 eV/atom


2.
VASP calculation (PBE) on a relaxed structure of LiLa2Ga3.

```
LiLa2Ga3
1.0
0.000 4.626 7.997
3.868 0.000 7.997
3.868 4.626 0.000
Li La Ga
2 4 6
Direct
0.169 0.169 0.831
0.831 0.831 0.169
0.241 0.759 0.759
0.250 0.250 0.250
0.750 0.750 0.750
0.759 0.241 0.241
0.172 0.661 0.339
0.335 0.335 0.665
0.339 0.828 0.172
0.661 0.172 0.828
0.665 0.665 0.335
0.828 0.339 0.661
```

Values from the calculation:
Crystal system ... orthorhombic
Final energy ... -48.2 eV/cell
Symmetry ... Fmmm, No. 69
Energy of formation from the pure elements ... -0.5437 eV/atom


3.
VASP calculation (PBE) on a relaxed structure of CdNi2Se.

```
CdNi2Se
1.0
1.543 0.891 7.557
-1.543 0.891 7.557
0.000 -1.782 7.557
Cd Ni Se
1 2 1
Direct
0.000 0.000 0.000
0.240 0.240 0.240
0.760 0.760 0.760
0.500 0.500 0.500
```

Values from the calculation:
Crystal system ... trigonal
Final energy ... -15.6 eV/cell
Energy above the lowest structure with this stoichiometry ... 121 meV per atom
Symmetry ... R-3m, No. 166
Raw formation energy ... 0.087 eV per atom


4.
VASP calculation (PBE) on a relaxed structure of Sc2TiAg2S6.

```
Sc2TiAg2S6
1.0
3.140 -5.432 0.000
3.140 5.432 0.000
-0.049 0.000 6.383
Sc Ti Ag S
2 1 2 6
Direct
0.167 0.833 0.000
0.833 0.167 0.000
0.500 0.500 0.000
0.167 0.833 0.500
0.833 0.167 0.500
0.180 0.180 0.774
0.183 0.501 0.225
0.499 0.817 0.775
0.501 0.183 0.225
0.817 0.499 0.775
0.820 0.820 0.226
```

Values from the calculation:
Crystal system ... monoclinic
Final energy ... -64.4 eV/cell
Symmetry ... C2/m, No. 12
Raw formation energy ... -1.216 eV per atom


5.
VASP calculation (PBE) on a relaxed structure of Zr2SbAs.

```
Zr2SbAs
1.0
1.947 1.124 6.880
-1.947 1.124 6.880
0.000 -2.248 6.880
Zr Sb As
2 1 1
Direct
0.000 0.000 0.000
0.189 0.189 0.189
0.427 0.427 0.427
0.595 0.595 0.595
```

Values from the calculation:
Crystal system ... trigonal
Final energy ... -29.6 eV/cell
Symmetry ... R3m, No. 160
Raw formation energy ... -0.939 eV per atom


6.
VASP calculation (PBE) on a relaxed structure of CsTlHgAu2.

```
CsTlHgAu2
1.0
-2.381 2.502 6.438
2.381 -2.502 6.438
2.381 2.502 -6.438
Cs Tl Hg Au
1 1 1 2
Direct
0.000 0.000 0.000
0.258 0.758 0.500
0.613 0.613 0.000
0.389 0.389 0.000
0.763 0.263 0.500
```

Values from the calculation:
Crystal system ... orthorhombic
Final energy ... -10.7 eV/cell
Energy above the lowest structure with this stoichiometry ... 0 meV per atom
Symmetry ... Imm2, No. 44
Energy of formation from the pure elements ... -0.1339 eV/atom


7.
VASP calculation (PBE) on a relaxed structure of ScSnIrRh.

```
ScSnIrRh
1.0
-2.170 2.170 3.575
2.170 -2.170 3.575
2.170 2.170 -3.575
Sc Sn Ir Rh
1 1 1 1
Direct
0.000 0.000 0.000
0.500 0.500 0.000
0.750 0.250 0.500
0.250 0.750 0.500
```

Values from the calculation:
Crystal system ... tetragonal
Final energy ... -29.8 eV/cell
Energy above the lowest structure with this stoichiometry ... 0 meV per atom
Symmetry ... I-4m2, No. 119
Energy of formation from the pure elements ... -0.8012 eV/atom


8.
VASP calculation (PBE) on a relaxed structure of InTcPb2.

```
InTcPb2
1.0
3.431 0.000 0.000
0.000 4.817 0.000
-1.270 0.000 5.930
In Tc Pb
1 1 2
Direct
0.000 0.000 0.000
0.000 0.000 0.500
0.382 0.500 0.731
0.618 0.500 0.269
```

Values from the calculation:
Crystal system ... monoclinic
Final energy ... -18.1 eV/cell
Symmetry ... P2/m, No. 10
Energy of formation from the pure elements ... 0.6000 eV/atom